No. 1
VASP calculation (PBE) on a relaxed NbAu3 crystal.

```
data_NbAu3
_chemical_formula_sum 'Nb1 Au3'
_symmetry_space_group_name_H-M 'P 1'
_symmetry_Int_Tables_number 1
_cell_length_a 2.814
_cell_length_b 4.821
_cell_length_c 5.288
_cell_angle_alpha 90.00
_cell_angle_beta 90.00
_cell_angle_gamma 90.00
loop_
_symmetry_equiv_pos_as_xyz
'x,y,z'
loop_
_atom_site_label
_atom_site_type_symbol
_atom_site_fract_x
_atom_site_fract_y
_atom_site_fract_z
Nb1 Nb 0.000 0.000 0.000
Au1 Au 0.000 0.500 0.698
Au2 Au 0.500 0.000 0.499
Au3 Au 0.500 0.500 0.189
```


No. 2
VASP calculation (PBE) on a relaxed NbAu crystal.

```
data_NbAu
_chemical_formula_sum 'Nb6 Au6'
_symmetry_space_group_name_H-M 'P 1'
_symmetry_Int_Tables_number 1
_cell_length_a 7.321
_cell_length_b 7.321
_cell_length_c 7.321
_cell_angle_alpha 90.00
_cell_angle_beta 90.00
_cell_angle_gamma 90.00
loop_
_symmetry_equiv_pos_as_xyz
'x,y,z'
loop_
_atom_site_label
_atom_site_type_symbol
_atom_site_fract_x
_atom_site_fract_y
_atom_site_fract_z
Nb1 Nb 0.000 0.250 0.500
Nb2 Nb 0.000 0.750 0.500
Nb3 Nb 0.250 0.500 0.000
Nb4 Nb 0.500 0.000 0.250
Nb5 Nb 0.500 0.000 0.750
Nb6 Nb 0.750 0.500 0.000
Au1 Au 0.000 0.500 0.250
Au2 Au 0.000 0.500 0.750
Au3 Au 0.250 0.000 0.500
Au4 Au 0.500 0.250 0.000
Au5 Au 0.500 0.750 0.000
Au6 Au 0.750 0.000 0.500
```


No. 3
VASP calculation (PBE) on a relaxed NbAu crystal.

```
data_NbAu
_chemical_formula_sum 'Nb8 Au8'
_symmetry_space_group_name_H-M 'P 1'
_symmetry_Int_Tables_number 1
_cell_length_a 10.598
_cell_length_b 10.598
_cell_length_c 2.743
_cell_angle_alpha 90.00
_cell_angle_beta 90.00
_cell_angle_gamma 90.00
loop_
_symmetry_equiv_pos_as_xyz
'x,y,z'
loop_
_atom_site_label
_atom_site_type_symbol
_atom_site_fract_x
_atom_site_fract_y
_atom_site_fract_z
Nb1 Nb 0.101 0.641 0.000
Nb2 Nb 0.141 0.399 0.500
Nb3 Nb 0.359 0.101 0.000
Nb4 Nb 0.399 0.859 0.500
Nb5 Nb 0.601 0.141 0.500
Nb6 Nb 0.641 0.899 0.000
Nb7 Nb 0.859 0.601 0.500
Nb8 Nb 0.899 0.359 0.000
Au1 Au 0.094 0.163 0.000
Au2 Au 0.163 0.906 0.000
Au3 Au 0.337 0.594 0.500
Au4 Au 0.406 0.337 0.500
Au5 Au 0.594 0.663 0.500
Au6 Au 0.663 0.406 0.500
Au7 Au 0.837 0.094 0.000
Au8 Au 0.906 0.837 0.000
```


No. 4
VASP calculation (PBE) on a relaxed NbAu2 crystal.

```
data_NbAu2
_chemical_formula_sum 'Nb1 Au2'
_symmetry_space_group_name_H-M 'P 1'
_symmetry_Int_Tables_number 1
_cell_length_a 4.702
_cell_length_b 4.702
_cell_length_c 2.775
_cell_angle_alpha 90.00
_cell_angle_beta 90.00
_cell_angle_gamma 120.00
loop_
_symmetry_equiv_pos_as_xyz
'x,y,z'
loop_
_atom_site_label
_atom_site_type_symbol
_atom_site_fract_x
_atom_site_fract_y
_atom_site_fract_z
Nb1 Nb 0.000 0.000 0.000
Au1 Au 0.333 0.667 0.500
Au2 Au 0.667 0.333 0.500
```


Number 1: formation enthalpy at 0 K 0.014 eV/atom. Number 2: formation enthalpy at 0 K 1.276 eV/atom. Number 3: formation enthalpy at 0 K 0.127 eV/atom. Number 4: formation enthalpy at 0 K -0.115 eV/atom.